A plane-wave DFT calculation with PBE-GGA was carried out for a geometry-optimized AlCdCu3 structure.

Cell: 4.516 4.516 4.516 Å, 90.00 90.00 90.00°
Positions (direct):
Al 0.000 0.000 0.000
Cd 0.500 0.500 0.500
Cu 0.000 0.000 0.500
Cu 0.000 0.500 0.000
Cu 0.500 0.000 0.000

Output
Space-group type = Pm-3m
ρ = 6.0 g/cm3
Total energy = -2.84 eV per atom
Energy of formation = 0.547 eV/atom
Volume = 92.1 Å³/f.u.
Energy above the most stable polymorph in this dataset = 0 meV/atom

A plane-wave DFT calculation with PBE-GGA was carried out for a geometry-optimized Al2Cd2Cu structure.

Cell: 6.947 6.947 4.147 Å, 90.00 90.00 90.00°
Positions (direct):
Al 0.151 0.349 0.000
Al 0.349 0.849 0.000
Al 0.651 0.151 0.000
Al 0.849 0.651 0.000
Cd 0.154 0.654 0.500
Cd 0.346 0.154 0.500
Cd 0.654 0.846 0.500
Cd 0.846 0.346 0.500
Cu 0.000 0.000 0.500
Cu 0.500 0.500 0.500

Output
Space-group type = P4/mbm
ρ = 5.7 g/cm3
Total energy = -2.36 eV per atom
Energy of formation = 0.326 eV/atom
Volume = 100.1 Å³/f.u.
Energy above the most stable polymorph in this dataset = 172 meV/atom

A plane-wave DFT calculation with PBE-GGA was carried out for a geometry-optimized AlCd3Cu structure.

Cell: 4.997 4.997 4.997 Å, 90.00 90.00 90.00°
Positions (direct):
Al 0.000 0.000 0.000
Cd 0.000 0.500 0.500
Cd 0.500 0.000 0.500
Cd 0.500 0.500 0.000
Cu 0.500 0.500 0.500

Output
Space-group type = Pm-3m
ρ = 5.7 g/cm3
Total energy = -1.74 eV per atom
Energy of formation = 0.374 eV/atom
Volume = 124.8 Å³/f.u.
Energy above the most stable polymorph in this dataset = 0 meV/atom

A plane-wave DFT calculation with PBE-GGA was carried out for a geometry-optimized AlCdCu structure.

Cell: 5.907 5.907 5.907 Å, 152.64 147.46 43.02°
Positions (direct):
Al 0.000 0.000 0.000
Cd 0.702 0.702 0.000
Cu 0.376 0.376 0.000

Output
Space-group type = Imm2
ρ = 6.6 g/cm3
Total energy = -2.88 eV per atom
Energy of formation = 0.038 eV/atom
Volume = 50.8 Å³/f.u.
Energy above the most stable polymorph in this dataset = 33 meV/atom